This record from Alexandria via LeMat-Bulk describes a relaxed Na3HfOs crystal. The functional is PBEsol.

Cell and atoms, written as CIF:
```
data_Na3HfOs
_space_group_name_H-M_alt 'P 1'
_space_group_IT_number 1
_cell_length_a 5.182
_cell_length_b 5.182
_cell_length_c 5.182
_cell_angle_alpha 90.00
_cell_angle_beta 90.00
_cell_angle_gamma 90.00
loop_
_space_group_symop_operation_xyz
'x,y,z'
loop_
_atom_site_label
_atom_site_fract_x
_atom_site_fract_y
_atom_site_fract_z
_atom_site_occupancy
Na1 0.000 0.000 0.500 1
Na2 0.000 0.500 0.000 1
Na3 0.500 0.000 0.000 1
Hf1 0.500 0.500 0.500 1
Os1 0.000 0.000 0.000 1
```

Output
- Theoretical density: 5222 kg/m3
- Space group: Pm-3m, No. 221
- N(E_F): 6.47 states/eV/f.u.
- Uncorrected energy: -3.282 eV per atom

***

This record from Alexandria via LeMat-Bulk describes a relaxed NaHf2TcPt crystal. The functional is PBEsol.

Cell and atoms, written as CIF:
```
data_NaHf2TcPt
_space_group_name_H-M_alt 'P 1'
_space_group_IT_number 1
_cell_length_a 4.955
_cell_length_b 4.955
_cell_length_c 4.722
_cell_angle_alpha 90.00
_cell_angle_beta 90.00
_cell_angle_gamma 90.00
loop_
_space_group_symop_operation_xyz
'x,y,z'
loop_
_atom_site_label
_atom_site_fract_x
_atom_site_fract_y
_atom_site_fract_z
_atom_site_occupancy
Na1 0.000 0.000 0.000 1
Hf1 0.000 0.500 0.500 1
Hf2 0.500 0.000 0.500 1
Tc1 0.500 0.500 0.000 1
Pt1 0.000 0.000 0.500 1
```

Output
- Theoretical density: 9639 kg/m3
- Space group: P4/mmm, No. 123
- N(E_F): 5.19 states/eV/f.u.
- Uncorrected energy: -7.094 eV per atom

***

This record from Alexandria via LeMat-Bulk describes a relaxed Na3HfRe crystal. The functional is PBEsol.

Cell and atoms, written as CIF:
```
data_Na3HfRe
_space_group_name_H-M_alt 'P 1'
_space_group_IT_number 1
_cell_length_a 5.298
_cell_length_b 5.298
_cell_length_c 5.298
_cell_angle_alpha 90.00
_cell_angle_beta 90.00
_cell_angle_gamma 90.00
loop_
_space_group_symop_operation_xyz
'x,y,z'
loop_
_atom_site_label
_atom_site_fract_x
_atom_site_fract_y
_atom_site_fract_z
_atom_site_occupancy
Na1 0.000 0.000 0.500 1
Na2 0.000 0.500 0.000 1
Na3 0.500 0.000 0.000 1
Hf1 0.500 0.500 0.500 1
Re1 0.000 0.000 0.000 1
```

Output
- Theoretical density: 4842 kg/m3
- Space group: Pm-3m, No. 221
- N(E_F): 3.55 states/eV/f.u.
- Uncorrected energy: -3.339 eV per atom

***

This record from Alexandria via LeMat-Bulk describes a relaxed NaHfRe3 crystal. The functional is PBEsol.

Cell and atoms, written as CIF:
```
data_NaHfRe3
_space_group_name_H-M_alt 'P 1'
_space_group_IT_number 1
_cell_length_a 4.795
_cell_length_b 4.795
_cell_length_c 4.795
_cell_angle_alpha 90.00
_cell_angle_beta 90.00
_cell_angle_gamma 90.00
loop_
_space_group_symop_operation_xyz
'x,y,z'
loop_
_atom_site_label
_atom_site_fract_x
_atom_site_fract_y
_atom_site_fract_z
_atom_site_occupancy
Na1 0.000 0.000 0.000 1
Hf1 0.500 0.500 0.500 1
Re1 0.000 0.500 0.500 1
Re2 0.500 0.000 0.500 1
Re3 0.500 0.500 0.000 1
```

Output
- Theoretical density: 11449 kg/m3
- Space group: Pm-3m, No. 221
- N(E_F): 6.84 states/eV/f.u.
- Uncorrected energy: -7.849 eV per atom